*one*
Compound: Nd2Sn2O5
Source: OQMD via LeMat-Bulk
Functional: PBE-GGA
Structure: optimized geometry

For the mass density, the calculation gives 7.04 g/cm³.

It has space group P4/mmm (No. 123), with a = 3.791 Å, b = 3.791 Å, c = 9.954 Å, α = 90.00°, β = 90.00° and γ = 90.00°. The distinct sites, in fractional coordinates, are Nd at (0.000, 0.000, 0.245), Sn at (0.500, 0.500, 0.000), Sn at (0.500, 0.500, 0.500), O at (0.000, 0.000, 0.000) and O at (0.000, 0.500, 0.373).

***

*two*
Compound: Nd2Sn2O5
Source: OQMD via LeMat-Bulk
Functional: PBE-GGA
Structure: optimized geometry

For the mass density, the calculation gives 7.71 g/cm³.

It has space group P4/mmm (No. 123), with a = 4.292 Å, b = 4.292 Å, c = 7.078 Å, α = 90.00°, β = 90.00° and γ = 90.00°. The distinct sites, in fractional coordinates, are Nd at (0.000, 0.000, 0.000), Nd at (0.000, 0.000, 0.500), Sn at (0.500, 0.500, 0.212), O at (0.000, 0.500, 0.243) and O at (0.500, 0.500, 0.500).

***

Unit: meV per atom. Relative energies: *one* 0; *two* 186.

***

*one*
Compound: Nd2Ta2O5
Source: OQMD via LeMat-Bulk
Functional: PBE-GGA
Structure: optimized geometry

For the mass density, the calculation gives 10.28 g/cm³.

It has space group P4/mmm (No. 123), with a = 4.062 Å, b = 4.062 Å, c = 7.147 Å, α = 90.00°, β = 90.00° and γ = 90.00°. The distinct sites, in fractional coordinates, are Nd at (0.000, 0.000, 0.000), Nd at (0.000, 0.000, 0.500), Ta at (0.500, 0.500, 0.199), O at (0.000, 0.500, 0.248) and O at (0.500, 0.500, 0.500).

***

*two*
Compound: Nd2Ta2O5
Source: OQMD via LeMat-Bulk
Functional: PBE-GGA
Structure: optimized geometry

For the mass density, the calculation gives 9.55 g/cm³.

It has space group P4/mmm (No. 123), with a = 3.500 Å, b = 3.500 Å, c = 10.366 Å, α = 90.00°, β = 90.00° and γ = 90.00°. The distinct sites, in fractional coordinates, are Nd at (0.000, 0.000, 0.234), Ta at (0.500, 0.500, 0.000), Ta at (0.500, 0.500, 0.500), O at (0.000, 0.000, 0.000) and O at (0.000, 0.500, 0.385).

***

Unit: meV per atom. Relative energies: *one* 0; *two* 353.

***

*one*
Compound: Nd2Y2O5
Source: OQMD via LeMat-Bulk
Functional: PBE-GGA
Structure: optimized geometry

For the mass density, the calculation gives 6.23 g/cm³.

It has space group P4/mmm (No. 123), with a = 4.349 Å, b = 4.349 Å, c = 7.698 Å, α = 90.00°, β = 90.00° and γ = 90.00°. The distinct sites, in fractional coordinates, are Nd at (0.000, 0.000, 0.000), Nd at (0.000, 0.000, 0.500), Y at (0.500, 0.500, 0.226), O at (0.000, 0.500, 0.230) and O at (0.500, 0.500, 0.500).

***

*two*
Compound: Nd2Y2O5
Source: OQMD via LeMat-Bulk
Functional: PBE-GGA
Structure: optimized geometry

For the mass density, the calculation gives 5.85 g/cm³.

It has space group P4/mmm (No. 123), with a = 3.901 Å, b = 3.901 Å, c = 10.194 Å, α = 90.00°, β = 90.00° and γ = 90.00°. The distinct sites, in fractional coordinates, are Nd at (0.000, 0.000, 0.240), Y at (0.500, 0.500, 0.000), Y at (0.500, 0.500, 0.500), O at (0.000, 0.000, 0.500) and O at (0.000, 0.500, 0.135).

***

Unit: meV per atom. Relative energies: *one* 56; *two* 0.